YMg6FeO8: optimized geometry, PBE with a Hubbard U.

- total energy (eV/atom) = -6.25
- M_tot (μB per atom) = 0.200
- symmetry = P4/mmm (123)
- crystal system = tetragonal

a b c (Å): 4.395 4.395 9.014
angles (deg): 90.00 90.00 90.00
Element x y z (fractional)
Mg: 0.500 0.500 0.500
Mg: 0.500 0.000 0.727
Mg: 0.000 0.500 0.727
Mg: 0.500 0.500 0.000
Mg: 0.000 0.500 0.273
Mg: 0.500 0.000 0.273
Y: 0.000 0.000 0.000
Fe: 0.000 0.000 0.500
O: 0.500 0.000 0.000
O: 0.000 0.500 0.000
O: 0.500 0.000 0.500
O: 0.500 0.500 0.252
O: 0.000 0.000 0.754
O: 0.000 0.000 0.246
O: 0.000 0.500 0.500
O: 0.500 0.500 0.748